Record 1
# SrTcO3, optimized geometry, DFT PBE-GGA
# - uncorrected energy (eV per atom) = -7.457
# - spin magnetization (μB per atom) = 0.00
# - space-group type = No. 12
data_SrTcO3
_space_group_name_H-M_alt 'P 1'
_space_group_IT_number 1
_cell_length_a 4.318
_cell_length_b 7.008
_cell_length_c 5.836
_cell_angle_alpha 114.57
_cell_angle_beta 89.97
_cell_angle_gamma 102.78
loop_
_space_group_symop_operation_xyz
'x,y,z'
loop_
_atom_site_label
_atom_site_type_symbol
_atom_site_fract_x
_atom_site_fract_y
_atom_site_fract_z
O1 O 0.958 0.001 0.006
O2 O 0.322 0.628 0.840
O3 O 0.958 0.001 0.528
O4 O 0.641 0.315 0.136
O5 O 0.323 0.628 0.319
O6 O 0.640 0.314 0.710
Sr1 Sr 0.837 0.632 0.582
Sr2 Sr 0.444 0.997 0.265
Tc1 Tc 0.367 0.447 0.989
Tc2 Tc 0.914 0.182 0.857

---

Record 2
# Tm5Ta, optimized geometry, DFT PBE-GGA
# - uncorrected energy (eV per atom) = -5.515
# - DFT formation energy (eV per formula unit) = 1.1
# - spin magnetization (μB per atom) = 0.00
# - space-group type = No. 65
data_Tm5Ta
_space_group_name_H-M_alt 'P 1'
_space_group_IT_number 1
_cell_length_a 4.792
_cell_length_b 4.771
_cell_length_c 7.538
_cell_angle_alpha 108.45
_cell_angle_beta 90.00
_cell_angle_gamma 90.00
loop_
_space_group_symop_operation_xyz
'x,y,z'
loop_
_atom_site_label
_atom_site_type_symbol
_atom_site_fract_x
_atom_site_fract_y
_atom_site_fract_z
Tm1 Tm 0.500 0.500 0.000
Tm2 Tm 0.000 0.654 0.309
Tm3 Tm 0.500 0.157 0.314
Tm4 Tm 0.500 0.843 0.686
Tm5 Tm 0.000 0.346 0.691
Ta1 Ta 0.000 0.000 0.000

---

Record 3
# Ba2CaCdHg6, optimized geometry, DFT PBE-GGA
# - uncorrected energy (eV per atom) = -1.066
# - DFT formation energy (eV per formula unit) = -2.1
# - spin magnetization (μB per atom) = 0.00
# - space-group type = No. 225
data_Ba2CaCdHg6
_space_group_name_H-M_alt 'P 1'
_space_group_IT_number 1
_cell_length_a 8.051
_cell_length_b 8.051
_cell_length_c 8.051
_cell_angle_alpha 60.00
_cell_angle_beta 60.00
_cell_angle_gamma 90.00
loop_
_space_group_symop_operation_xyz
'x,y,z'
loop_
_atom_site_label
_atom_site_type_symbol
_atom_site_fract_x
_atom_site_fract_y
_atom_site_fract_z
Ba1 Ba 0.750 0.250 0.500
Ba2 Ba 0.250 0.750 0.500
Cd1 Cd 0.000 0.000 0.000
Hg1 Hg 0.755 0.245 0.000
Hg2 Hg 0.755 0.755 0.000
Hg3 Hg 0.755 0.755 0.490
Hg4 Hg 0.245 0.755 0.000
Hg5 Hg 0.245 0.245 0.000
Hg6 Hg 0.245 0.245 0.510
Ca1 Ca 0.500 0.500 0.000

---

Record 4
# K2Sr, optimized geometry, DFT PBE-GGA
# - uncorrected energy (eV per atom) = -1.185
# - DFT formation energy (eV per formula unit) = 0.3
# - spin magnetization (μB per atom) = 0.00
# - space-group type = No. 141
data_K2Sr
_space_group_name_H-M_alt 'P 1'
_space_group_IT_number 1
_cell_length_a 21.936
_cell_length_b 21.936
_cell_length_c 21.936
_cell_angle_alpha 168.81
_cell_angle_beta 168.81
_cell_angle_gamma 15.85
loop_
_space_group_symop_operation_xyz
'x,y,z'
loop_
_atom_site_label
_atom_site_type_symbol
_atom_site_fract_x
_atom_site_fract_y
_atom_site_fract_z
Sr1 Sr 0.750 0.250 0.500
Sr2 Sr 0.000 0.000 0.000
K1 K 0.328 0.828 0.500
K2 K 0.172 0.672 0.500
K3 K 0.578 0.578 0.000
K4 K 0.422 0.422 0.000

---

Record 5
# TaZnSe2Br, optimized geometry, DFT PBE-GGA
# - uncorrected energy (eV per atom) = -4.476
# - spin magnetization (μB per atom) = 0.00
# - space-group type = No. 123
data_TaZnSe2Br
_space_group_name_H-M_alt 'P 1'
_space_group_IT_number 1
_cell_length_a 5.024
_cell_length_b 5.024
_cell_length_c 5.279
_cell_angle_alpha 90.00
_cell_angle_beta 90.00
_cell_angle_gamma 90.00
loop_
_space_group_symop_operation_xyz
'x,y,z'
loop_
_atom_site_label
_atom_site_type_symbol
_atom_site_fract_x
_atom_site_fract_y
_atom_site_fract_z
Ta1 Ta 0.000 0.000 0.000
Zn1 Zn 0.500 0.500 0.500
Se1 Se 0.000 0.500 0.000
Se2 Se 0.500 0.000 0.000
Br1 Br 0.000 0.000 0.500

---

Record 6
# CdIrRh2, optimized geometry, DFT PBE-GGA
# - uncorrected energy (eV per atom) = -6.023
# - DFT formation energy (eV per formula unit) = 0.4
# - spin magnetization (μB per atom) = 0.00
# - space-group type = No. 139
data_CdIrRh2
_space_group_name_H-M_alt 'P 1'
_space_group_IT_number 1
_cell_length_a 4.804
_cell_length_b 4.804
_cell_length_c 4.804
_cell_angle_alpha 131.00
_cell_angle_beta 131.00
_cell_angle_gamma 71.81
loop_
_space_group_symop_operation_xyz
'x,y,z'
loop_
_atom_site_label
_atom_site_type_symbol
_atom_site_fract_x
_atom_site_fract_y
_atom_site_fract_z
Ir1 Ir 0.000 0.000 0.000
Rh1 Rh 0.250 0.750 0.500
Rh2 Rh 0.750 0.250 0.500
Cd1 Cd 0.500 0.500 0.000

---

Record 7
# LaTb6Dy2Tm, optimized geometry, DFT PBE-GGA
# - uncorrected energy (eV per atom) = -4.519
# - DFT formation energy (eV per formula unit) = 1.2
# - spin magnetization (μB per atom) = 0.00
# - space-group type = No. 15
data_LaTb6Dy2Tm
_space_group_name_H-M_alt 'P 1'
_space_group_IT_number 1
_cell_length_a 9.536
_cell_length_b 8.818
_cell_length_c 8.818
_cell_angle_alpha 117.48
_cell_angle_beta 93.21
_cell_angle_gamma 93.21
loop_
_space_group_symop_operation_xyz
'x,y,z'
loop_
_atom_site_label
_atom_site_type_symbol
_atom_site_fract_x
_atom_site_fract_y
_atom_site_fract_z
Tm1 Tm 0.750 0.590 0.410
Tm2 Tm 0.250 0.410 0.590
Dy1 Dy 0.451 0.799 0.694
Dy2 Dy 0.049 0.306 0.201
Dy3 Dy 0.549 0.201 0.306
Dy4 Dy 0.951 0.694 0.799
Tb1 Tb 0.383 0.511 0.292
Tb2 Tb 0.057 0.124 0.751
Tb3 Tb 0.183 0.561 0.014
Tb4 Tb 0.317 0.986 0.439
Tb5 Tb 0.557 0.751 0.124
Tb6 Tb 0.817 0.439 0.986
Tb7 Tb 0.117 0.708 0.489
Tb8 Tb 0.883 0.292 0.511
Tb9 Tb 0.943 0.876 0.249
Tb10 Tb 0.617 0.489 0.708
Tb11 Tb 0.683 0.014 0.561
Tb12 Tb 0.443 0.249 0.876
La1 La 0.250 0.972 0.028
La2 La 0.750 0.028 0.972

---

Record 8
# TaTiPbO6, optimized geometry, DFT PBE-GGA
# - uncorrected energy (eV per atom) = -8.278
# - spin magnetization (μB per atom) = 0.00
# - space-group type = No. 163
data_TaTiPbO6
_space_group_name_H-M_alt 'P 1'
_space_group_IT_number 1
_cell_length_a 5.281
_cell_length_b 5.281
_cell_length_c 9.935
_cell_angle_alpha 90.00
_cell_angle_beta 90.00
_cell_angle_gamma 120.00
loop_
_space_group_symop_operation_xyz
'x,y,z'
loop_
_atom_site_label
_atom_site_type_symbol
_atom_site_fract_x
_atom_site_fract_y
_atom_site_fract_z
Pb1 Pb 0.000 0.000 0.500
Pb2 Pb 0.000 0.000 0.000
O1 O 0.003 0.372 0.141
O2 O 0.628 0.997 0.359
O3 O 0.372 0.003 0.641
O4 O 0.997 0.369 0.641
O5 O 0.369 0.372 0.359
O6 O 0.628 0.631 0.141
O7 O 0.997 0.628 0.859
O8 O 0.003 0.631 0.359
O9 O 0.631 0.003 0.859
O10 O 0.631 0.628 0.641
O11 O 0.372 0.369 0.859
O12 O 0.369 0.997 0.141
Ta1 Ta 0.333 0.667 0.750
Ta2 Ta 0.667 0.333 0.250
Ti1 Ti 0.667 0.333 0.750
Ti2 Ti 0.333 0.667 0.250

---

Record 9
# Na3PaRh3S8, optimized geometry, DFT PBE-GGA
# - uncorrected energy (eV per atom) = -5.494
# - spin magnetization (μB per atom) = 0.00
# - space-group type = No. 12
data_Na3PaRh3S8
_space_group_name_H-M_alt 'P 1'
_space_group_IT_number 1
_cell_length_a 7.158
_cell_length_b 7.164
_cell_length_c 7.895
_cell_angle_alpha 117.06
_cell_angle_beta 90.00
_cell_angle_gamma 119.97
loop_
_space_group_symop_operation_xyz
'x,y,z'
loop_
_atom_site_label
_atom_site_type_symbol
_atom_site_fract_x
_atom_site_fract_y
_atom_site_fract_z
Rh1 Rh 0.500 0.500 0.500
Rh2 Rh 0.000 0.500 0.500
Rh3 Rh 0.500 0.000 0.500
S1 S 0.290 0.038 0.286
S2 S 0.727 0.454 0.682
S3 S 0.748 0.496 0.286
S4 S 0.273 0.546 0.318
S5 S 0.748 0.038 0.286
S6 S 0.252 0.504 0.714
S7 S 0.710 0.962 0.714
S8 S 0.252 0.962 0.714
Pa1 Pa 0.000 0.000 0.500
Na1 Na 0.500 0.500 0.000
Na2 Na 0.000 0.500 0.000
Na3 Na 0.000 0.000 0.000

---

Record 10
# PmGdZnSb, optimized geometry, DFT PBE-GGA
# - uncorrected energy (eV per atom) = -6.629
# - spin magnetization (μB per atom) = 1.85
# - space-group type = No. 216
data_PmGdZnSb
_space_group_name_H-M_alt 'P 1'
_space_group_IT_number 1
_cell_length_a 5.290
_cell_length_b 5.290
_cell_length_c 5.290
_cell_angle_alpha 60.00
_cell_angle_beta 60.00
_cell_angle_gamma 60.00
loop_
_space_group_symop_operation_xyz
'x,y,z'
loop_
_atom_site_label
_atom_site_type_symbol
_atom_site_fract_x
_atom_site_fract_y
_atom_site_fract_z
Sb1 Sb 0.750 0.750 0.750
Pm1 Pm 0.000 0.000 0.000
Zn1 Zn 0.250 0.250 0.250
Gd1 Gd 0.500 0.500 0.500

---

Record 11
# FeAsIr2, optimized geometry, DFT PBE-GGA
# - uncorrected energy (eV per atom) = -7.564
# - DFT formation energy (eV per formula unit) = 0.6
# - spin magnetization (μB per atom) = 0.65
# - space-group type = No. 99
data_FeAsIr2
_space_group_name_H-M_alt 'P 1'
_space_group_IT_number 1
_cell_length_a 2.878
_cell_length_b 2.878
_cell_length_c 6.808
_cell_angle_alpha 90.00
_cell_angle_beta 90.00
_cell_angle_gamma 90.00
loop_
_space_group_symop_operation_xyz
'x,y,z'
loop_
_atom_site_label
_atom_site_type_symbol
_atom_site_fract_x
_atom_site_fract_y
_atom_site_fract_z
Ir1 Ir 0.000 0.000 0.981
Ir2 Ir 0.500 0.500 0.267
Fe1 Fe 0.500 0.500 0.742
As1 As 0.000 0.000 0.510

---

Record 12
# TbPu2O6, optimized geometry, DFT PBE-GGA
# - uncorrected energy (eV per atom) = -10.171
# - spin magnetization (μB per atom) = 0.78
# - space-group type = No. 164
data_TbPu2O6
_space_group_name_H-M_alt 'P 1'
_space_group_IT_number 1
_cell_length_a 3.828
_cell_length_b 3.828
_cell_length_c 9.145
_cell_angle_alpha 90.00
_cell_angle_beta 90.00
_cell_angle_gamma 120.00
loop_
_space_group_symop_operation_xyz
'x,y,z'
loop_
_atom_site_label
_atom_site_type_symbol
_atom_site_fract_x
_atom_site_fract_y
_atom_site_fract_z
O1 O 0.667 0.333 0.582
O2 O 0.000 0.000 0.735
O3 O 0.333 0.667 0.418
O4 O 0.667 0.333 0.097
O5 O 0.000 0.000 0.265
O6 O 0.333 0.667 0.903
Pu1 Pu 0.333 0.667 0.667
Pu2 Pu 0.667 0.333 0.333
Tb1 Tb 0.000 0.000 0.000